# GGA-PBE PaCuBiO6, optimized geometry
data_PaCuBiO6
_cell_length_a 4.908
_cell_length_b 5.346
_cell_length_c 5.346
_cell_angle_alpha 120.00
_cell_angle_beta 90.00
_cell_angle_gamma 90.00
_symmetry_space_group_name_H-M 'P 1'
_symmetry_Int_Tables_number 1
loop_
_symmetry_equiv_pos_as_xyz
'x,y,z'
loop_
_atom_site_label
_atom_site_fract_x
_atom_site_fract_y
_atom_site_fract_z
_atom_site_occupancy
O1 0.740 0.671 0.671 1
O2 0.260 0.671 0.000 1
O3 0.740 0.000 0.329 1
O4 0.740 0.329 0.000 1
O5 0.260 0.000 0.671 1
O6 0.260 0.329 0.329 1
Bi1 0.500 0.667 0.333 1
Cu1 0.500 0.000 0.000 1
Pa1 0.000 0.333 0.667 1
# E_form (uncorrected) = -1.73 eV per atom
# N(E_F) = 5.81 states/eV/cell
# Calculated volume = 121.5 Å³/f.u.
# Total moment = 0.99 μB per formula unit